# La3CuO | Alexandria | GGA-PBE | relaxed
data_La3CuO
_chemical_formula_sum 'La3 Cu1 O1'
_cell_length_a 4.991
_cell_length_b 4.991
_cell_length_c 4.991
_cell_angle_alpha 90.00
_cell_angle_beta 90.00
_cell_angle_gamma 90.00
_space_group_name_H-M_alt 'P m -3 m'
_space_group_IT_number 221
_space_group_name_Hall '-P 4 2 3'
loop_
_atom_site_label
_atom_site_type_symbol
_atom_site_fract_x
_atom_site_fract_y
_atom_site_fract_z
La1 La 0.000 0.000 0.500
Cu1 Cu 0.500 0.500 0.500
O1 O 0.000 0.000 0.000
# - Formation energy without anion corrections: -1076.5 meV per atom
# - E: -5.84 eV per atom

# LaTb2F | Alexandria | GGA-PBE | relaxed
data_LaTb2F
_chemical_formula_sum 'La3 Tb6 F3'
_cell_length_a 3.6461
_cell_length_b 3.6461
_cell_length_c 28.5828
_cell_angle_alpha 90.00
_cell_angle_beta 90.00
_cell_angle_gamma 120.00
_space_group_name_H-M_alt 'R -3 m'
_space_group_IT_number 166
_space_group_name_Hall '-R 3 2"'
loop_
_atom_site_label
_atom_site_type_symbol
_atom_site_fract_x
_atom_site_fract_y
_atom_site_fract_z
La1 La 0.0000 0.0000 0.0000
Tb1 Tb 0.0000 0.0000 0.1191
F1 F 0.0000 0.0000 0.5000
# - Formation energy without anion corrections: -926.8 meV per atom
# - E: -4.94 eV per atom

# Ce2ZrGe | Alexandria | GGA-PBE | relaxed
data_Ce2ZrGe
_chemical_formula_sum 'Ce2 Zr1 Ge1'
_cell_length_a 4.285
_cell_length_b 4.285
_cell_length_c 4.893
_cell_angle_alpha 90.00
_cell_angle_beta 90.00
_cell_angle_gamma 90.00
_space_group_name_H-M_alt 'P 4/m m m'
_space_group_IT_number 123
_space_group_name_Hall '-P 4 2'
loop_
_atom_site_label
_atom_site_type_symbol
_atom_site_fract_x
_atom_site_fract_y
_atom_site_fract_z
Ce1 Ce 0.000 0.500 0.000
Zr1 Zr 0.000 0.000 0.500
Ge1 Ge 0.500 0.500 0.500
# - E: -6.65 eV per atom
# - Excess energy over the best structure of this formula in the dataset: 0 meV/atom

# RbNa2BiAu | Alexandria | GGA-PBE | relaxed
data_RbNa2BiAu
_chemical_formula_sum 'Rb1 Na2 Bi1 Au1'
_cell_length_a 5.762
_cell_length_b 5.762
_cell_length_c 5.615
_cell_angle_alpha 90.00
_cell_angle_beta 90.00
_cell_angle_gamma 90.00
_space_group_name_H-M_alt 'P 4/m m m'
_space_group_IT_number 123
_space_group_name_Hall '-P 4 2'
loop_
_atom_site_label
_atom_site_type_symbol
_atom_site_fract_x
_atom_site_fract_y
_atom_site_fract_z
Rb1 Rb 0.000 0.000 0.000
Na1 Na 0.000 0.500 0.500
Bi1 Bi 0.500 0.500 0.000
Au1 Au 0.500 0.500 0.500
# - E: -2.36 eV per atom

# CdAs2PtO8 | Alexandria | GGA-PBE | relaxed
data_CdAs2PtO8
_chemical_formula_sum 'Cd1 As2 Pt1 O8'
_cell_length_a 5.4648
_cell_length_b 5.4648
_cell_length_c 6.6530
_cell_angle_alpha 90.00
_cell_angle_beta 90.00
_cell_angle_gamma 120.00
_space_group_name_H-M_alt 'P -3 m 1'
_space_group_IT_number 164
_space_group_name_Hall '-P 3 2"'
loop_
_atom_site_label
_atom_site_type_symbol
_atom_site_fract_x
_atom_site_fract_y
_atom_site_fract_z
Cd1 Cd 0.0000 0.0000 0.0000
As1 As 0.3333 0.6667 0.2222
Pt1 Pt 0.0000 0.0000 0.5000
O1 O 0.1548 0.3097 0.2891
O2 O 0.3333 0.6667 0.9722
# - Formation energy without anion corrections: -818.4 meV per atom
# - E: -5.48 eV per atom

# La2PmPuN4 | Alexandria | GGA-PBE | relaxed
data_La2PmPuN4
_chemical_formula_sum 'La2 Pm1 Pu1 N4'
_cell_length_a 6.262
_cell_length_b 3.634
_cell_length_c 6.314
_cell_angle_alpha 90.00
_cell_angle_beta 109.15
_cell_angle_gamma 90.00
_space_group_name_H-M_alt 'P 1 2/m 1'
_space_group_IT_number 10
loop_
_space_group_symop_operation_xyz
'x,y,z'
'-x,-y,-z'
'-x,y,-z'
'x,-y,z'
loop_
_atom_site_label
_atom_site_type_symbol
_atom_site_fract_x
_atom_site_fract_y
_atom_site_fract_z
La1 La 0.000 0.000 0.000
La2 La 0.500 0.500 0.000
Pm1 Pm 0.000 0.500 0.500
Pu1 Pu 0.500 0.000 0.500
N1 N 0.258 0.000 0.731
N2 N 0.270 0.500 0.276
# - Formation energy without anion corrections: -1313.8 meV per atom
# - E: -9.09 eV per atom

# La2MgRuAu | Alexandria | GGA-PBE | relaxed
data_La2MgRuAu
_chemical_formula_sum 'La2 Mg1 Ru1 Au1'
_cell_length_a 5.327
_cell_length_b 5.327
_cell_length_c 5.085
_cell_angle_alpha 90.00
_cell_angle_beta 90.00
_cell_angle_gamma 90.00
_space_group_name_H-M_alt 'P 4/m m m'
_space_group_IT_number 123
_space_group_name_Hall '-P 4 2'
loop_
_atom_site_label
_atom_site_type_symbol
_atom_site_fract_x
_atom_site_fract_y
_atom_site_fract_z
La1 La 0.000 0.500 0.000
Mg1 Mg 0.000 0.000 0.500
Ru1 Ru 0.000 0.000 0.000
Au1 Au 0.500 0.500 0.500
# - E: -5.09 eV per atom

# CrFe2Cu | Alexandria | GGA-PBE | relaxed
data_CrFe2Cu
_chemical_formula_sum 'Cr2 Fe4 Cu2'
_cell_length_a 4.998
_cell_length_b 8.057
_cell_length_c 2.421
_cell_angle_alpha 90.00
_cell_angle_beta 108.82
_cell_angle_gamma 90.00
_space_group_name_H-M_alt 'C 1 2/m 1'
_space_group_IT_number 12
loop_
_space_group_symop_operation_xyz
'x,y,z'
'-x,-y,-z'
'-x,y,-z'
'x,-y,z'
'x+1/2,y+1/2,z'
'-x+1/2,-y+1/2,-z'
'-x+1/2,y+1/2,-z'
'x+1/2,-y+1/2,z'
loop_
_atom_site_label
_atom_site_type_symbol
_atom_site_fract_x
_atom_site_fract_y
_atom_site_fract_z
Cr1 Cr 0.000 0.000 0.000
Fe1 Fe 0.250 0.250 0.500
Cu1 Cu 0.000 0.500 0.000
# - E: -7.44 eV per atom

| no. | magnetization (μB per formula unit) |
| --- | --- |
| 1 | 0.00 |
| 2 | 0.00 |
| 3 | 0.00 |
| 4 | 0.00 |
| 5 | 0.00 |
| 6 | 4.59 |
| 7 | 0.00 |
| 8 | 3.34 |